La3Zn9Au2 PBE-GGA optimized geometry; uncorrected energy = -38.66 eV/cell; SG = Immm, No. 71
1.0
-2.272 4.556 6.758
2.272 -4.556 6.758
2.272 4.556 -6.758
La Zn Au
3 9 2
Cartesian
0.000 0.000 0.000
0.000 0.000 4.104
0.000 0.000 9.412
2.272 -1.277 2.280
2.272 -1.983 4.934
2.272 1.277 2.280
0.000 2.573 1.824
0.000 4.556 0.000
2.272 1.983 4.934
0.000 3.279 4.477
0.000 6.540 1.824
0.000 5.833 4.477
2.272 2.663 0.000
0.000 1.893 6.758

=====

TaAs2Os PBE-GGA optimized geometry; energy relative to the lowest polymorph listed for this composition = 0.116 eV per atom; uncorrected energy = -32.35 eV/cell; SG = Pmm2, No. 25
1.0
3.179 0.000 0.000
0.000 3.591 0.000
0.000 0.000 5.708
Ta As Os
1 2 1
Cartesian
0.000 0.000 0.000
0.000 0.000 2.908
1.589 1.796 1.085
1.589 1.796 3.875

=====

ScBe3C PBE-GGA optimized geometry; energy relative to the lowest polymorph listed for this composition = 0.000 eV per atom; uncorrected energy = -24.59 eV/cell; SG = Pm-3m, No. 221
1.0
3.721 0.000 0.000
0.000 3.721 0.000
0.000 0.000 3.721
Sc Be C
1 3 1
Cartesian
0.000 0.000 0.000
0.000 1.860 1.860
1.860 0.000 1.860
1.860 1.860 0.000
1.860 1.860 1.860

=====

GaB2IrAu PBE-GGA optimized geometry; uncorrected energy = -20.25 eV/cell; SG = P4/mmm, No. 123
1.0
4.003 0.000 0.000
0.000 4.003 0.000
0.000 0.000 4.890
Ga B Ir Au
1 2 1 1
Cartesian
0.000 0.000 0.000
0.000 2.001 0.000
2.001 0.000 0.000
0.000 0.000 2.445
2.001 2.001 2.445